(1)
Density functional theory data (PBE+U) for Fe2CuO after structural relaxation.

Cell lengths 5.8224, 5.8224, 7.0602 Å; angles 90.00, 90.00, 90.00 degrees
Space group I-42d (No. 122)
Inequivalent atoms, fractional coordinates:
Fe1 0.1777 0.7500 0.1250 [8 per cell]
Cu1 0.0000 0.0000 0.5000 [4 per cell]
O1 0.0000 0.0000 0.0000 [4 per cell]

Results
The value obtained for the total energy is -5.199 eV per atom.



(2)
Density functional theory data (PBE+U) for FeCu4O2 after structural relaxation.

Cell lengths 4.3880, 4.3880, 10.7710 Å; angles 90.00, 90.00, 90.00 degrees
Space group I4/mmm (No. 139)
Inequivalent atoms, fractional coordinates:
Fe1 0.0000 0.0000 0.0000 [2 per cell]
Cu1 0.0000 0.0000 0.2222 [4 per cell]
Cu2 0.0000 0.5000 0.0000 [4 per cell]
O1 0.0000 0.0000 0.3899 [4 per cell]

Results
The value obtained for the total energy is -3.826 eV per atom.



(3)
Density functional theory data (PBE+U) for Fe9Cu3O16 after structural relaxation.

Cell lengths 5.8397, 5.8397, 8.2721 Å; angles 90.00, 90.00, 90.00 degrees
Space group P-4m2 (No. 115)
Inequivalent atoms, fractional coordinates:
Fe1 0.0000 0.0000 0.0000 [1 per cell]
Fe2 0.0000 0.2498 0.3746 [4 per cell]
Fe3 0.2523 0.5000 0.1239 [4 per cell]
Cu1 0.0000 0.5000 0.7458 [2 per cell]
Cu2 0.5000 0.5000 0.5000 [1 per cell]
O1 0.0000 0.2231 0.6106 [4 per cell]
O2 0.0000 0.2703 0.1322 [4 per cell]
O3 0.2253 0.5000 0.3587 [4 per cell]
O4 0.2769 0.5000 0.8878 [4 per cell]

Results
The calculation puts the polymorph energy (0 for the lowest one) at 392 kJ/mol of formula units. The value obtained for the total energy is -5.933 eV per atom.



no.,total magnetization (μB per atom)
1,1.82
2,0.52
3,0.39